This record from Alexandria describes an optimized crystal structure of SiAs2BrF. The functional is PBE.

Values from the calculation:
N(E_F) = 2.9 states/eV/f.u.
V = 107.7 Å³ per cell
raw formation energy = 2.0 eV/f.u.
relative energy among the computed polymorphs = 0.059 eV per atom
ρ = 4.3 g/cm3

Unit cell a=4.309 b=4.309 c=5.797 alpha=90.00 beta=90.00 gamma=90.00
Fractional positions:
Si 0.000 0.000 0.000
As 0.000 0.500 0.500
As 0.500 0.000 0.500
Br 0.500 0.500 0.000
F 0.500 0.500 0.500


This record from Alexandria describes an optimized crystal structure of Pb3Se. The functional is PBE.

Values from the calculation:
N(E_F) = 2.3 states/eV/f.u.
V = 116.8 Å³ per cell
raw formation energy = -0.4 eV/f.u.
ρ = 10.0 g/cm3

Unit cell a=3.687 b=3.687 c=8.591 alpha=90.00 beta=90.00 gamma=90.00
Fractional positions:
Pb 0.000 0.000 0.000
Pb 0.500 0.500 0.285
Pb 0.500 0.500 0.715
Se 0.000 0.000 0.500


This record from Alexandria describes an optimized crystal structure of MgGaPd3. The functional is PBE.

Values from the calculation:
N(E_F) = 2.6 states/eV/f.u.
V = 153.0 Å³ per cell
energy of formation from the pure elements = -634 meV per atom
relative energy among the computed polymorphs = 0.000 eV per atom
ρ = 9.0 g/cm3

Unit cell a=4.399 b=4.396 c=8.210 alpha=90.00 beta=105.49 gamma=90.00
Fractional positions:
Mg 0.151 0.250 0.299
Mg 0.849 0.750 0.701
Ga 0.355 0.250 0.708
Ga 0.645 0.750 0.292
Pd 0.057 0.750 0.116
Pd 0.249 0.750 0.500
Pd 0.441 0.750 0.885
Pd 0.559 0.250 0.115
Pd 0.751 0.250 0.500
Pd 0.943 0.250 0.884


This record from Alexandria describes an optimized crystal structure of HfZnPdAu. The functional is PBE.

Values from the calculation:
N(E_F) = 3.0 states/eV/f.u.
V = 68.6 Å³ per cell
energy of formation from the pure elements = -529 meV per atom
ρ = 13.2 g/cm3

Unit cell a=4.595 b=4.595 c=4.595 alpha=60.00 beta=60.00 gamma=60.00
Fractional positions:
Hf 0.000 0.000 0.000
Zn 0.500 0.500 0.500
Pd 0.250 0.250 0.250
Au 0.750 0.750 0.750


This record from Alexandria describes an optimized crystal structure of Zn2RhW. The functional is PBE.

Values from the calculation:
N(E_F) = 3.1 states/eV/f.u.
V = 59.2 Å³ per cell
energy of formation from the pure elements = 256 meV per atom
relative energy among the computed polymorphs = 0.359 eV per atom
ρ = 11.7 g/cm3

Unit cell a=4.788 b=4.788 c=4.788 alpha=132.11 beta=132.11 gamma=70.05
Fractional positions:
Zn 0.250 0.750 0.500
Zn 0.750 0.250 0.500
Rh 0.000 0.000 0.000
W 0.500 0.500 0.000


This record from Alexandria describes an optimized crystal structure of CrCoRh2. The functional is PBE.

Values from the calculation:
N(E_F) = 5.2 states/eV/f.u.
V = 51.2 Å³ per cell
energy of formation from the pure elements = 26 meV per atom
ρ = 10.3 g/cm3

Unit cell a=4.487 b=4.487 c=2.668 alpha=90.00 beta=90.00 gamma=107.63
Fractional positions:
Cr 0.000 0.000 0.000
Co 0.500 0.500 0.000
Rh 0.000 0.500 0.500
Rh 0.500 0.000 0.500


This record from Alexandria describes an optimized crystal structure of LiH2Ir. The functional is PBE.

Values from the calculation:
N(E_F) = 1.2 states/eV/f.u.
V = 33.4 Å³ per cell
relative energy among the computed polymorphs = 0.000 eV per atom
ρ = 10.0 g/cm3

Unit cell a=4.792 b=4.792 c=4.792 alpha=35.63 beta=35.63 gamma=35.63
Fractional positions:
Li 0.000 0.000 0.000
H 0.231 0.231 0.231
H 0.769 0.769 0.769
Ir 0.500 0.500 0.500


This record from Alexandria describes an optimized crystal structure of HfV2. The functional is PBE.

Values from the calculation:
N(E_F) = 4.5 states/eV/f.u.
V = 49.2 Å³ per cell
energy of formation from the pure elements = 65 meV per atom
ρ = 9.5 g/cm3

Unit cell a=5.389 b=5.389 c=5.389 alpha=145.79 beta=145.79 gamma=49.16
Fractional positions:
Hf 0.000 0.000 0.000
V 0.310 0.310 0.000
V 0.690 0.690 0.000


This record from Alexandria describes an optimized crystal structure of K3Cd4In4. The functional is PBE.

Values from the calculation:
N(E_F) = 4.4 states/eV/f.u.
V = 387.3 Å³ per cell
energy of formation from the pure elements = -76 meV per atom
relative energy among the computed polymorphs = 0.000 eV per atom
ρ = 4.4 g/cm3

Unit cell a=7.954 b=7.954 c=7.954 alpha=109.47 beta=109.47 gamma=109.47
Fractional positions:
K 0.000 0.500 0.500
K 0.500 0.000 0.500
K 0.500 0.500 0.000
Cd 0.000 0.000 0.380
Cd 0.000 0.380 0.000
Cd 0.380 0.000 0.000
Cd 0.620 0.620 0.620
In 0.000 0.000 0.745
In 0.000 0.745 0.000
In 0.255 0.255 0.255
In 0.745 0.000 0.000


This record from Alexandria describes an optimized crystal structure of NaPt3N. The functional is PBE.

Values from the calculation:
N(E_F) = 3.6 states/eV/f.u.
V = 75.5 Å³ per cell
raw formation energy = 1.6 eV/f.u.
relative energy among the computed polymorphs = 0.000 eV per atom
ρ = 13.7 g/cm3

Unit cell a=4.227 b=4.227 c=4.227 alpha=90.00 beta=90.00 gamma=90.00
Fractional positions:
Na 0.000 0.000 0.000
Pt 0.000 0.500 0.500
Pt 0.500 0.000 0.500
Pt 0.500 0.500 0.000
N 0.500 0.500 0.500


This record from Alexandria describes an optimized crystal structure of RbTbAuSe2. The functional is PBE.

Values from the calculation:
N(E_F) = 2.5 states/eV/f.u.
V = 318.5 Å³ per cell
raw formation energy = -5.5 eV/f.u.
ρ = 6.2 g/cm3

Unit cell a=8.023 b=4.985 c=8.042 alpha=90.00 beta=98.01 gamma=90.00
Fractional positions:
Rb 0.000 0.126 0.250
Rb 0.000 0.874 0.750
Tb 0.500 0.494 0.750
Tb 0.500 0.506 0.250
Au 0.500 0.000 0.000
Au 0.500 0.000 0.500
Se 0.260 0.364 0.968
Se 0.260 0.636 0.468
Se 0.740 0.364 0.532
Se 0.740 0.636 0.032


This record from Alexandria describes an optimized crystal structure of GaAg2Ge. The functional is PBE.

Values from the calculation:
N(E_F) = 1.3 states/eV/f.u.
V = 76.2 Å³ per cell
energy of formation from the pure elements = 159 meV per atom
ρ = 7.8 g/cm3

Unit cell a=10.340 b=10.340 c=10.340 alpha=16.33 beta=16.33 gamma=16.33
Fractional positions:
Ga 0.000 0.000 0.000
Ag 0.088 0.088 0.088
Ag 0.912 0.912 0.912
Ge 0.500 0.500 0.500


This record from Alexandria describes an optimized crystal structure of SrLiTlBi2. The functional is PBE.

Values from the calculation:
N(E_F) = 2.6 states/eV/f.u.
V = 155.0 Å³ per cell
energy of formation from the pure elements = -319 meV per atom
relative energy among the computed polymorphs = 0.000 eV per atom
ρ = 7.7 g/cm3

Unit cell a=5.435 b=5.435 c=5.248 alpha=90.00 beta=90.00 gamma=90.00
Fractional positions:
Sr 0.000 0.000 0.000
Li 0.500 0.500 0.500
Tl 0.500 0.500 0.000
Bi 0.000 0.500 0.500
Bi 0.500 0.000 0.500


This record from Alexandria describes an optimized crystal structure of KH3Au. The functional is PBE.

Values from the calculation:
N(E_F) = 1.8 states/eV/f.u.
V = 80.9 Å³ per cell
relative energy among the computed polymorphs = 0.498 eV per atom
ρ = 4.9 g/cm3

Unit cell a=3.633 b=3.633 c=6.129 alpha=90.00 beta=90.00 gamma=90.00
Fractional positions:
K 0.000 0.000 0.000
H 0.000 0.000 0.610
H 0.000 0.500 0.336
H 0.500 0.000 0.336
Au 0.500 0.500 0.357


This record from Alexandria describes an optimized crystal structure of KMg2Tc. The functional is PBE.

Values from the calculation:
N(E_F) = 3.9 states/eV/f.u.
V = 87.3 Å³ per cell
energy of formation from the pure elements = 841 meV per atom
relative energy among the computed polymorphs = 0.384 eV per atom
ρ = 3.5 g/cm3

Unit cell a=5.580 b=2.845 c=5.849 alpha=90.00 beta=109.95 gamma=90.00
Fractional positions:
K 0.000 0.000 0.000
Mg 0.000 0.000 0.500
Mg 0.500 0.500 0.000
Tc 0.500 0.500 0.500


This record from Alexandria describes an optimized crystal structure of NaLaCdIn. The functional is PBE.

Values from the calculation:
N(E_F) = 2.2 states/eV/f.u.
V = 112.8 Å³ per cell
energy of formation from the pure elements = -286 meV per atom
ρ = 5.7 g/cm3

Unit cell a=5.424 b=5.424 c=5.424 alpha=60.00 beta=60.00 gamma=60.00
Fractional positions:
Na 0.000 0.000 0.000
La 0.500 0.500 0.500
Cd 0.250 0.250 0.250
In 0.750 0.750 0.750


This record from Alexandria describes an optimized crystal structure of NaLaFe2Ge. The functional is PBE.

Values from the calculation:
N(E_F) = 7.0 states/eV/f.u.
V = 118.0 Å³ per cell
energy of formation from the pure elements = 1394 meV per atom
ρ = 4.9 g/cm3

Unit cell a=4.613 b=4.613 c=5.545 alpha=90.00 beta=90.00 gamma=90.00
Fractional positions:
Na 0.000 0.000 0.000
La 0.000 0.000 0.500
Fe 0.000 0.500 0.500
Fe 0.500 0.000 0.500
Ge 0.500 0.500 0.000


This record from Alexandria describes an optimized crystal structure of CaPrP2S8. The functional is PBE.

Values from the calculation:
N(E_F) = 12.2 states/eV/f.u.
V = 291.8 Å³ per cell
raw formation energy = -8.6 eV/f.u.
ρ = 2.8 g/cm3

Unit cell a=5.990 b=5.990 c=9.393 alpha=90.00 beta=90.00 gamma=120.00
Fractional positions:
Ca 0.000 0.000 0.000
Pr 0.000 0.000 0.500
P 0.333 0.667 0.773
P 0.667 0.333 0.227
S 0.001 0.656 0.288
S 0.333 0.667 0.990
S 0.344 0.345 0.288
S 0.345 0.001 0.712
S 0.655 0.999 0.288
S 0.656 0.655 0.712
S 0.667 0.333 0.010
S 0.999 0.344 0.712


This record from Alexandria describes an optimized crystal structure of LaSbSe. The functional is PBE.

Values from the calculation:
V = 191.1 Å³ per cell
raw formation energy = -3.9 eV/f.u.
ρ = 5.9 g/cm3

Unit cell a=6.302 b=6.302 c=8.040 alpha=106.89 beta=106.89 gamma=38.97
Fractional positions:
La 0.000 0.000 0.000
La 0.229 0.229 0.527
Sb 0.600 0.600 0.741
Sb 0.951 0.951 0.530
Se 0.309 0.309 0.929
Se 0.632 0.632 0.253


This record from Alexandria describes an optimized crystal structure of SrMg2Pb. The functional is PBE.

Values from the calculation:
N(E_F) = 1.6 states/eV/f.u.
V = 120.9 Å³ per cell
energy of formation from the pure elements = -131 meV per atom
ρ = 4.7 g/cm3

Unit cell a=6.196 b=6.196 c=5.804 alpha=104.76 beta=104.76 gamma=34.26
Fractional positions:
Sr 0.000 0.000 0.000
Mg 0.233 0.233 0.726
Mg 0.767 0.767 0.274
Pb 0.500 0.500 0.500